# 1
Zr2HgPb: PBEsol geometry, SCAN.

Unit cell a=4.2252 b=4.2252 c=9.8157 alpha=90.00 beta=90.00 gamma=90.00
With the nearest neighbours (Å) after each atom.
Positions (direct):
Zr 0.0000 0.0000 0.0000  4 Pb 2.99, 4 Zr 3.24, 4 Hg 3.24
Zr 0.0000 0.5000 0.2500  4 Hg 2.99, 4 Pb 3.24, 4 Zr 3.24
Zr 0.5000 0.0000 0.7500  4 Hg 2.99, 4 Zr 3.24, 4 Pb 3.24
Zr 0.5000 0.5000 0.5000  4 Pb 2.99, 4 Zr 3.24, 4 Hg 3.24
Hg 0.0000 0.5000 0.7500  8 Zr 2.99-3.24, 4 Pb 3.24
Hg 0.5000 0.0000 0.2500  8 Zr 2.99-3.24, 4 Pb 3.24
Pb 0.0000 0.0000 0.5000  8 Zr 2.99-3.24, 4 Hg 3.24
Pb 0.5000 0.5000 0.0000  8 Zr 2.99-3.24, 4 Hg 3.24

Computed properties:
As for the total energy: -413.29 eV/cell.

***

# 2
CsAuF2: PBEsol geometry, SCAN.

Unit cell a=4.6727 b=4.6727 c=18.9752 alpha=90.00 beta=90.00 gamma=120.00
With the nearest neighbours (Å) after each atom.
Positions (direct):
Cs 0.0000 0.0000 0.0000  6 F 2.95
Cs 0.3333 0.6667 0.6667  6 F 2.95
Cs 0.6667 0.3333 0.3333  6 F 2.95
Au 0.0000 0.0000 0.5000  2 F 1.97
Au 0.3333 0.6667 0.1667  2 F 1.97
Au 0.6667 0.3333 0.8333  2 F 1.97
F 0.0000 0.0000 0.3963  1 Au 1.97
F 0.0000 0.0000 0.6037  1 Au 1.97
F 0.3333 0.6667 0.0629  1 Au 1.97
F 0.3333 0.6667 0.2704  1 Au 1.97
F 0.6667 0.3333 0.7296  1 Au 1.97
F 0.6667 0.3333 0.9371  1 Au 1.97

Computed properties:
As for the total energy: -363.58 eV/cell.

***

What did the second record say?
CsAuF2: PBEsol geometry, SCAN.

Unit cell a=4.6727 b=4.6727 c=18.9752 alpha=90.00 beta=90.00 gamma=120.00
With the nearest neighbours (Å) after each atom.
Positions (direct):
Cs 0.0000 0.0000 0.0000  6 F 2.95
Cs 0.3333 0.6667 0.6667  6 F 2.95
Cs 0.6667 0.3333 0.3333  6 F 2.95
Au 0.0000 0.0000 0.5000  2 F 1.97
Au 0.3333 0.6667 0.1667  2 F 1.97
Au 0.6667 0.3333 0.8333  2 F 1.97
F 0.0000 0.0000 0.3963  1 Au 1.97
F 0.0000 0.0000 0.6037  1 Au 1.97
F 0.3333 0.6667 0.0629  1 Au 1.97
F 0.3333 0.6667 0.2704  1 Au 1.97
F 0.6667 0.3333 0.7296  1 Au 1.97
F 0.6667 0.3333 0.9371  1 Au 1.97

Computed properties:
As for the total energy: -363.58 eV/cell.